Record 1
The following is a DFT calculation (PBE) of a relaxed structure of YZr3Ir.

Properties
Fermi-level density of states   1.50 states/eV/atom
E   -6.49 eV per atom
Symmetry   Pm-3m, No. 221
Excess energy over the best structure of this formula in the dataset   1.675 eV per atom

Cell lengths 5.001, 5.001, 5.001 Å; angles 90.00, 90.00, 90.00 degrees
Atoms (fractional coordinates):
Y 0.000 0.000 0.000
Zr 0.000 0.000 0.500
Zr 0.000 0.500 0.000
Zr 0.500 0.000 0.000
Ir 0.500 0.500 0.500

***

Record 2
The following is a DFT calculation (PBE) of a relaxed structure of TbThV.

Properties
Fermi-level density of states   1.67 states/eV/atom
E   -6.84 eV per atom
Symmetry   P4/nmm, No. 129

Cell lengths 3.385, 3.385, 13.286 Å; angles 90.00, 90.00, 90.00 degrees
Atoms (fractional coordinates):
Tb 0.250 0.250 0.100
Tb 0.750 0.750 0.900
Th 0.250 0.250 0.697
Th 0.750 0.750 0.303
V 0.250 0.250 0.457
V 0.750 0.750 0.543

***

Record 3
The following is a DFT calculation (PBE) of a relaxed structure of VGaPdPt.

Properties
Fermi-level density of states   1.09 states/eV/atom
E   -6.25 eV per atom
Symmetry   F-43m, No. 216

Cell lengths 4.395, 4.395, 4.395 Å; angles 60.00, 60.00, 60.00 degrees
Atoms (fractional coordinates):
V 0.000 0.000 0.000
Ga 0.500 0.500 0.500
Pd 0.250 0.250 0.250
Pt 0.750 0.750 0.750

***

Record 4
The following is a DFT calculation (PBE) of a relaxed structure of Ac2La3Tl7.

Properties
Fermi-level density of states   0.89 states/eV/atom
E   -3.49 eV per atom
Symmetry   Cmmm, No. 65

Cell lengths 13.336, 13.336, 5.749 Å; angles 90.00, 90.00, 155.88 degrees
Atoms (fractional coordinates):
Ac 0.146 0.854 0.000
Ac 0.854 0.146 0.000
La 0.343 0.657 0.500
La 0.500 0.500 0.500
La 0.657 0.343 0.500
Tl 0.000 0.000 0.000
Tl 0.076 0.924 0.500
Tl 0.277 0.723 0.000
Tl 0.430 0.570 0.000
Tl 0.570 0.430 0.000
Tl 0.723 0.277 0.000
Tl 0.924 0.076 0.500

***

Record 5
The following is a DFT calculation (PBE) of a relaxed structure of K2Tb2SiO6.

Properties
Fermi-level density of states   0.00 states/eV/atom
E   -6.85 eV per atom
Formation energy without anion corrections   -2607 meV per atom
Symmetry   C2/m, No. 12

Cell lengths 5.627, 5.627, 6.556 Å; angles 97.30, 97.30, 119.29 degrees
Atoms (fractional coordinates):
K 0.160 0.840 0.000
K 0.840 0.160 0.000
Tb 0.335 0.665 0.500
Tb 0.665 0.335 0.500
Si 0.000 0.000 0.500
O 0.045 0.329 0.663
O 0.222 0.222 0.338
O 0.329 0.045 0.663
O 0.671 0.955 0.337
O 0.778 0.778 0.662
O 0.955 0.671 0.337

***

Record 6
The following is a DFT calculation (PBE) of a relaxed structure of CrSn2.

Properties
Fermi-level density of states   0.76 states/eV/atom
E   -5.74 eV per atom
Symmetry   Fddd, No. 70

Cell lengths 10.325, 9.601, 5.388 Å; angles 81.88, 67.02, 31.11 degrees
Atoms (fractional coordinates):
Cr 0.002 0.002 0.748
Cr 0.252 0.252 0.998
Cr 0.748 0.748 0.002
Cr 0.998 0.998 0.252
Sn 0.040 0.710 0.040
Sn 0.290 0.960 0.290
Sn 0.294 0.294 0.456
Sn 0.456 0.456 0.294
Sn 0.544 0.544 0.706
Sn 0.706 0.706 0.544
Sn 0.710 0.040 0.710
Sn 0.960 0.290 0.960

***

Record 7
The following is a DFT calculation (PBE) of a relaxed structure of Sm4SiSe2Cl.

Properties
Fermi-level density of states   0.48 states/eV/atom
E   -5.64 eV per atom
Formation energy without anion corrections   -1497 meV per atom
Symmetry   P2/m, No. 10

Cell lengths 7.194, 4.160, 7.283 Å; angles 90.00, 109.03, 90.00 degrees
Atoms (fractional coordinates):
Sm 0.240 0.000 0.233
Sm 0.254 0.500 0.771
Sm 0.746 0.500 0.229
Sm 0.760 0.000 0.767
Si 0.000 0.500 0.000
Se 0.500 0.000 0.000
Se 0.500 0.500 0.500
Cl 0.000 0.000 0.500

***

Record 8
The following is a DFT calculation (PBE) of a relaxed structure of Nd2TlGe.

Properties
Fermi-level density of states   1.04 states/eV/atom
E   -4.63 eV per atom
Symmetry   R-3m, No. 166

Cell lengths 8.186, 8.186, 8.186 Å; angles 30.47, 30.47, 30.47 degrees
Atoms (fractional coordinates):
Nd 0.236 0.236 0.236
Nd 0.764 0.764 0.764
Tl 0.000 0.000 0.000
Ge 0.500 0.500 0.500

***

Record 9
The following is a DFT calculation (PBE) of a relaxed structure of Tb3Tl3GaTe8.

Properties
Fermi-level density of states   0.49 states/eV/atom
E   -4.08 eV per atom
Formation energy without anion corrections   -803 meV per atom
Symmetry   C2/m, No. 12

Cell lengths 8.769, 8.769, 9.609 Å; angles 117.17, 117.17, 59.95 degrees
Atoms (fractional coordinates):
Tb 0.000 0.000 0.000
Tb 0.000 0.500 0.000
Tb 0.500 0.000 0.000
Tl 0.000 0.500 0.500
Tl 0.500 0.000 0.500
Tl 0.500 0.500 0.500
Ga 0.500 0.500 0.000
Te 0.239 0.239 0.218
Te 0.253 0.726 0.205
Te 0.274 0.747 0.795
Te 0.275 0.275 0.796
Te 0.725 0.725 0.204
Te 0.726 0.253 0.205
Te 0.747 0.274 0.795
Te 0.761 0.761 0.782